This record from the Alexandria database describes a relaxed TiNb2V9 crystal. The functional is PBE.

Cell lengths 5.132, 5.132, 8.505 Å; angles 72.44, 72.44, 60.00 degrees
Fractional coordinates of all 12 atoms:
Ti: 0.000 0.000 0.000
Nb: 0.855 0.855 0.434
Nb: 0.145 0.145 0.566
V: 0.667 0.667 0.998
V: 0.333 0.333 0.002
V: 0.500 0.500 0.500
V: 0.417 0.417 0.247
V: 0.919 0.417 0.247
V: 0.417 0.919 0.247
V: 0.583 0.583 0.753
V: 0.583 0.081 0.753
V: 0.081 0.583 0.753

Values from the calculation:
Final energy: -9.05 eV/atom
E_form: 120.3 meV/atom
Crystal system: trigonal
V: 181.8 Å³/cell


This record from the Alexandria database describes a relaxed TiNbVW crystal. The functional is PBE.

Cell lengths 4.502, 4.502, 4.502 Å; angles 60.00, 60.00, 60.00 degrees
Fractional coordinates of all 4 atoms:
Nb: 0.000 0.000 0.000
Ti: 0.750 0.750 0.750
W: 0.250 0.250 0.250
V: 0.500 0.500 0.500

Values from the calculation:
Final energy: -9.99 eV/atom
E_form: 18.6 meV/atom
Crystal system: cubic
V: 64.5 Å³/cell


This record from the Alexandria database describes a relaxed YTiNbV2 crystal. The functional is PBE.

Cell lengths 4.775, 4.796, 4.775 Å; angles 90.00, 90.00, 90.00 degrees
Last column: magnetic moment on the atom in μB.
Fractional coordinates of all 5 atoms:
Y: 0.500 0.500 0.500  0.07
Nb: 0.000 0.000 0.000  -0.19
Ti: 0.000 0.500 0.000  -0.06
V: 0.000 0.000 0.500  1.29
V: 0.500 0.000 0.000  1.54

Values from the calculation:
Final energy: -7.69 eV/atom
E_form: 842.5 meV/atom
Crystal system: tetragonal
V: 109.3 Å³/cell


This record from the Alexandria database describes a relaxed TiNbVZn crystal. The functional is PBE.

Cell lengths 4.473, 4.473, 4.473 Å; angles 60.00, 60.00, 60.00 degrees
Last column: magnetic moment on the atom in μB.
Fractional coordinates of all 4 atoms:
Nb: 0.750 0.750 0.750  -0.04
Ti: 0.250 0.250 0.250  0.07
Zn: 0.500 0.500 0.500  0.01
V: 0.000 0.000 0.000  0.73

Values from the calculation:
Final energy: -7.05 eV/atom
E_form: 41.8 meV/atom
Crystal system: cubic
V: 63.3 Å³/cell


This record from the Alexandria database describes a relaxed TiNbVZn crystal. The functional is PBE.

Cell lengths 3.249, 3.249, 5.985 Å; angles 90.00, 90.00, 90.00 degrees
Fractional coordinates of all 4 atoms:
Ti: 0.000 0.000 0.864
Nb: 0.000 0.000 0.341
V: 0.500 0.500 0.109
Zn: 0.500 0.500 0.614

Values from the calculation:
Final energy: -7.14 eV/atom
E_form: -48.9 meV/atom
Crystal system: tetragonal
V: 63.2 Å³/cell


This record from the Alexandria database describes a relaxed ZrTi2NbV crystal. The functional is PBE.

Cell lengths 4.715, 4.562, 4.715 Å; angles 90.00, 90.00, 90.00 degrees
Last column: magnetic moment on the atom in μB.
Fractional coordinates of all 5 atoms:
Nb: 0.500 0.500 0.500  -0.27
Ti: 0.000 0.000 0.500  0.01
Ti: 0.500 0.000 0.000  0.09
Zr: 0.000 0.000 0.000  0.01
V: 0.000 0.500 0.000  1.05

Values from the calculation:
Final energy: -7.34 eV/atom
E_form: 1363.5 meV/atom
Crystal system: tetragonal
V: 101.4 Å³/cell


This record from the Alexandria database describes a relaxed TiNb6W2 crystal. The functional is PBE.

Cell lengths 4.662, 4.662, 9.330 Å; angles 75.53, 75.53, 60.00 degrees
Fractional coordinates of all 9 atoms:
Ti: 0.000 0.000 0.000
Nb: 0.594 0.594 0.218
Nb: 0.804 0.804 0.587
Nb: 0.702 0.702 0.895
Nb: 0.196 0.196 0.413
Nb: 0.406 0.406 0.782
Nb: 0.298 0.298 0.105
W: 0.901 0.901 0.297
W: 0.099 0.099 0.703

Values from the calculation:
Final energy: -10.22 eV/atom
E_form: 252.2 meV/atom
Crystal system: trigonal
V: 168.2 Å³/cell


This record from the Alexandria database describes a relaxed TiNb2W2 crystal. The functional is PBE.

Cell lengths 7.416, 7.416, 3.311 Å; angles 90.00, 90.00, 90.00 degrees
Fractional coordinates of all 10 atoms:
Nb: 0.157 0.657 0.500
Nb: 0.657 0.843 0.500
Nb: 0.843 0.343 0.500
Nb: 0.343 0.157 0.500
W: 0.356 0.856 0.000
W: 0.856 0.644 0.000
W: 0.644 0.144 0.000
W: 0.144 0.356 0.000
Ti: 0.000 0.000 0.000
Ti: 0.500 0.500 0.000

Values from the calculation:
Final energy: -10.32 eV/atom
E_form: 472.2 meV/atom
Crystal system: tetragonal
V: 182.1 Å³/cell


This record from the Alexandria database describes a relaxed Ti3Nb2W2 crystal. The functional is PBE.

Cell lengths 2.800, 7.201, 9.597 Å; angles 58.60, 46.70, 75.28 degrees
Fractional coordinates of all 7 atoms:
Ti: 0.000 0.000 0.000
Ti: 0.544 0.151 0.572
Ti: 0.456 0.849 0.428
Nb: 0.882 0.713 0.856
Nb: 0.118 0.287 0.144
W: 0.288 0.570 0.291
W: 0.712 0.430 0.709

Values from the calculation:
Final energy: -9.96 eV/atom
E_form: 2.7 meV/atom
Crystal system: triclinic
V: 118.5 Å³/cell


This record from the Alexandria database describes a relaxed TiNbW crystal. The functional is PBE.

Cell lengths 2.810, 4.566, 4.566 Å; angles 120.00, 90.00, 90.00 degrees
Fractional coordinates of all 3 atoms:
Nb: 0.690 0.333 0.667
W: 0.982 0.000 0.000
Ti: 0.327 0.667 0.333

Values from the calculation:
Final energy: -10.34 eV/atom
E_form: -34.1 meV/atom
Crystal system: trigonal
V: 50.7 Å³/cell


This record from the Alexandria database describes a relaxed TiNbW crystal. The functional is PBE.

Cell lengths 2.659, 2.746, 7.565 Å; angles 79.38, 100.12, 90.00 degrees
Fractional coordinates of all 3 atoms:
Ti: 0.840 0.993 0.680
W: 0.493 0.338 0.986
Nb: 0.667 0.669 0.334

Values from the calculation:
Final energy: -9.83 eV/atom
E_form: 480.5 meV/atom
Crystal system: monoclinic
V: 53.4 Å³/cell


This record from the Alexandria database describes a relaxed TiNb3W2 crystal. The functional is PBE.

Cell lengths 4.568, 6.994, 7.172 Å; angles 94.95, 108.57, 90.00 degrees
Fractional coordinates of all 12 atoms:
Ti: 0.149 0.285 0.298
Ti: 0.851 0.715 0.702
Nb: 0.693 0.968 0.386
Nb: 0.074 0.863 0.148
Nb: 0.387 0.429 0.773
Nb: 0.613 0.571 0.227
Nb: 0.926 0.137 0.852
Nb: 0.307 0.032 0.614
W: 0.462 0.815 0.923
W: 0.538 0.185 0.077
W: 0.235 0.654 0.469
W: 0.765 0.346 0.531

Values from the calculation:
Final energy: -10.51 eV/atom
E_form: 154.4 meV/atom
Crystal system: monoclinic
V: 216.3 Å³/cell


Calculated values (μB per formula unit) of total magnetic moment for the records, taken in order: 0.0, 0.0, 3.3, 0.9, 0.0, 1.1, 0.0, 0.0, 0.0, 0.0, 0.0, 0.0.